Entry 1:
# Y3MnV

A relaxed Y3MnV crystal (PBE-GGA, Alexandria via LeMat-Bulk).

The symmetry is No. 221. As for the crystal system: cubic. The theoretical density comes out at 4.271 Mg/m³. As for the calculated volume: 144.9 Å³/cell.

abc: 5.2521 5.2521 5.2521
angles: 90.00 90.00 90.00
Atoms (fractional coordinates):
Y1 0.0000 0.0000 0.5000
Y2 0.0000 0.5000 0.0000
Y3 0.5000 0.0000 0.0000
Mn1 0.5000 0.5000 0.5000
V1 0.0000 0.0000 0.0000

=====

Entry 2:
# K4YW

A relaxed K4YW crystal (PBE-GGA, Alexandria via LeMat-Bulk).

The symmetry is No. 216. As for the crystal system: cubic. The theoretical density comes out at 2.895 Mg/m³. As for the calculated volume: 246.1 Å³/cell.

abc: 7.0344 7.0344 7.0344
angles: 60.00 60.00 60.00
Atoms (fractional coordinates):
K1 0.1231 0.1231 0.1231
K2 0.1231 0.1231 0.6306
K3 0.1231 0.6306 0.1231
K4 0.6306 0.1231 0.1231
Y1 0.5000 0.5000 0.5000
W1 0.7500 0.7500 0.7500

=====

Entry 3:
# Ho2Zn3GaAu4

A relaxed Ho2Zn3GaAu4 crystal (PBE-GGA, Alexandria via LeMat-Bulk).

The symmetry is No. 115. As for the crystal system: tetragonal. The theoretical density comes out at 11.633 Mg/m³. As for the calculated volume: 197.5 Å³/cell.

abc: 4.1132 4.1132 11.6750
angles: 90.00 90.00 90.00
Atoms (fractional coordinates):
Ho1 0.0000 0.5000 0.2474
Ho2 0.5000 0.0000 0.7526
Zn1 0.0000 0.5000 0.8607
Zn2 0.5000 0.0000 0.1393
Zn3 0.5000 0.5000 0.5000
Ga1 0.0000 0.0000 0.5000
Au1 0.0000 0.0000 0.0000
Au2 0.0000 0.5000 0.6461
Au3 0.5000 0.0000 0.3539
Au4 0.5000 0.5000 0.0000

=====

In eV per atom, the DFT formation energy values for the records above are, in order, 0.75; 1.45; -0.50.
In eV/f.u., the E_tot values for the records above are, in order, -33.91; -15.13; -34.12.